[1]
This record from Alexandria describes Ba2NaGd after structural relaxation. The functional is PBE.

```
4
Lattice="4.071 0.000 0.000 0.000 4.071 0.000 0.000 0.000 11.485" Properties=species:S:1:pos:R:3 pbc="T T T"
Ba 0.000 0.000 8.533
Ba 0.000 0.000 2.952
Na 2.035 2.035 0.000
Gd 2.035 2.035 5.743
```

## Properties
- space-group type = P4/mmm
- E_form (meV per atom) = 134
- excess energy over the best structure of this formula in the dataset (meV/atom) = 0



[2]
This record from Alexandria describes Na6Y after structural relaxation. The functional is PBE.

```
7
Lattice="7.103 0.000 0.000 -2.368 6.697 0.000 -2.368 -3.348 5.800" Properties=species:S:1:pos:R:3 pbc="T T T"
Na -1.184 3.348 2.900
Y 0.000 0.000 0.000
Na -1.184 0.837 4.350
Na 1.184 4.186 1.450
Na 3.552 2.511 1.450
Na 3.552 0.000 2.900
Na 1.184 -0.837 4.350
```

## Properties
- space-group type = Im-3m
- E_form (meV per atom) = 562



[3]
This record from Alexandria describes Pr2MnZn after structural relaxation. The functional is PBE.

```
4
Lattice="3.719 0.000 0.000 0.000 3.719 0.000 0.000 0.000 7.393" Properties=species:S:1:pos:R:3 pbc="T T T"
Mn 1.859 1.859 3.696
Pr 0.000 0.000 5.536
Pr 0.000 0.000 1.857
Zn 1.859 1.859 0.000
```

## Properties
- space-group type = P4/mmm
- E_form (meV per atom) = 11
- excess energy over the best structure of this formula in the dataset (meV/atom) = 0



[4]
This record from Alexandria describes CrCuGePd after structural relaxation. The functional is PBE.

```
4
Lattice="-2.739 1.694 -2.857 0.327 -1.030 -4.167 -2.995 -2.483 -1.845" Properties=species:S:1:pos:R:3 pbc="T T T"
Cu -4.055 -1.364 -6.652
Pd -2.703 -0.909 -4.435
Ge -1.352 -0.455 -2.217
Cr 0.000 0.000 0.000
```

## Properties
- space-group type = F-43m
- E_form (meV per atom) = -77



Number 1: D(E_F) 1.911 states/eV per atom, energy -4.678 eV/atom, total moment 8.89 μB per cell. Number 2: D(E_F) 0.833 states/eV per atom, energy -1.492 eV/atom, total moment 0.00 μB per cell. Number 3: D(E_F) 1.170 states/eV per atom, energy -4.990 eV/atom, total moment 3.17 μB per cell. Number 4: D(E_F) 0.576 states/eV per atom, energy -5.960 eV/atom, total moment 3.10 μB per cell.